An optimized crystal structure of CoAsSe2Br, computed with GGA-PBEsol.

Properties
Its final energy is -3.57 eV per atom. The calculation puts the uncorrected formation energy at 909 meV/atom. The value obtained for the magnetization is 2.68 μB per formula unit.

CIF file:
```
data_CoAsSe2Br
_chemical_formula_sum 'Co1 As1 Se2 Br1'
_cell_length_a 5.019
_cell_length_b 5.019
_cell_length_c 4.960
_cell_angle_alpha 90.00
_cell_angle_beta 90.00
_cell_angle_gamma 90.00
_symmetry_space_group_name_H-M 'P 4/m m m'
_symmetry_Int_Tables_number 123
_symmetry_space_group_name_Hall '-P 4 2'
loop_
_atom_site_label
_atom_site_fract_x
_atom_site_fract_y
_atom_site_fract_z
_atom_site_occupancy
Co1 0.000 0.000 0.000 1
As1 0.500 0.500 0.500 1
Se1 0.000 0.500 0.500 1
Br1 0.500 0.500 0.000 1
```